No. 1
Compound: InNi3
Source: the Alexandria database
Functional: GGA-PBE
Structure: relaxed

ΔE_f, eV per atom: -0.04
V, Å³ per cell: 52.4
N(E_F), states/eV/atom: 1.205
Space group: Pm-3m (221)
Spin magnetization, μB/cell: 0.61

Cell: 3.744 3.741 3.741 Å, 90.00 90.00 90.00°
Site moments in Bohr magnetons follow the coordinates.
Sites, in units of the cell vectors:
Ni 0.000 0.500 0.500  0.22
Ni 0.500 0.000 0.500  0.18
Ni 0.500 0.500 0.000  0.27
In 0.000 0.000 0.000  -0.02

=====

No. 2
Compound: In2Ni
Source: the Alexandria database
Functional: GGA-PBE
Structure: relaxed

ΔE_f, eV per atom: 0.06
V, Å³ per cell: 120.7
N(E_F), states/eV/atom: 0.440
Space group: Cmcm (63)
Spin magnetization, μB/cell: 0.00

Cell: 7.491 7.491 5.010 Å, 90.00 90.00 154.56°
Sites, in units of the cell vectors:
In 0.651 0.349 0.750
In 0.940 0.060 0.750
In 0.060 0.940 0.250
In 0.349 0.651 0.250
Ni 0.295 0.705 0.750
Ni 0.705 0.295 0.250

=====

No. 3
Compound: InNi2
Source: the Alexandria database
Functional: GGA-PBE
Structure: relaxed

ΔE_f, eV per atom: 0.06
V, Å³ per cell: 92.4
N(E_F), states/eV/atom: 1.110
Space group: I4/mcm (140)
Spin magnetization, μB/cell: 0.09

Cell: 5.343 5.343 5.343 Å, 127.83 127.83 76.89°
Sites, in units of the cell vectors:
In 0.750 0.750 0.000
In 0.250 0.250 0.000
Ni 0.185 0.685 0.870
Ni 0.815 0.315 0.130
Ni 0.685 0.815 0.500
Ni 0.315 0.185 0.500

=====

No. 4
Compound: InNi2
Source: the Alexandria database
Functional: GGA-PBE
Structure: relaxed

ΔE_f, eV per atom: 0.01
V, Å³ per cell: 85.2
N(E_F), states/eV/atom: 0.945
Space group: C2/m (12)
Spin magnetization, μB/cell: 0.00

Cell: 4.973 4.973 5.375 Å, 67.81 67.81 44.59°
Sites, in units of the cell vectors:
In 0.171 0.171 0.875
In 0.829 0.829 0.125
Ni 0.857 0.857 0.586
Ni 0.500 0.500 0.267
Ni 0.500 0.500 0.733
Ni 0.143 0.143 0.414

=====

No. 5
Compound: In2Ni
Source: the Alexandria database
Functional: GGA-PBE
Structure: relaxed

ΔE_f, eV per atom: 0.07
V, Å³ per cell: 59.9
N(E_F), states/eV/atom: 0.159
Space group: P-3m1 (164)
Spin magnetization, μB/cell: 0.00

Cell: 3.266 3.266 6.484 Å, 90.00 90.00 120.00°
Sites, in units of the cell vectors:
In 0.667 0.333 0.709
In 0.333 0.667 0.291
Ni 0.000 0.000 0.000

=====

No. 6
Compound: In2Ni
Source: the Alexandria database
Functional: GGA-PBE
Structure: relaxed

ΔE_f, eV per atom: -0.06
V, Å³ per cell: 116.4
N(E_F), states/eV/atom: 0.449
Space group: C2/m (12)
Spin magnetization, μB/cell: 0.00

Cell: 5.245 5.245 7.640 Å, 62.42 62.42 39.50°
Sites, in units of the cell vectors:
In 0.093 0.093 0.625
In 0.335 0.335 0.075
In 0.665 0.665 0.925
In 0.907 0.907 0.375
Ni 0.634 0.634 0.329
Ni 0.366 0.366 0.671

=====

No. 7
Compound: InNi4
Source: the Alexandria database
Functional: GGA-PBE
Structure: relaxed

ΔE_f, eV per atom: 0.00
V, Å³ per cell: 127.6
N(E_F), states/eV/atom: 1.117
Space group: Imma (74)
Spin magnetization, μB/cell: 1.95

Cell: 3.981 5.214 6.966 Å, 111.98 106.60 90.00°
Site moments in Bohr magnetons follow the coordinates.
Sites, in units of the cell vectors:
In 0.894 0.144 0.787  -0.02
In 0.106 0.856 0.213  -0.02
Ni 0.112 0.362 0.224  0.20
Ni 0.888 0.638 0.776  0.20
Ni 0.500 0.000 0.000  0.17
Ni 0.500 0.500 0.000  0.17
Ni 0.698 0.219 0.396  0.34
Ni 0.302 0.781 0.604  0.34
Ni 0.302 0.323 0.604  0.34
Ni 0.698 0.677 0.396  0.34

=====

No. 8
Compound: InNi2
Source: the Alexandria database
Functional: GGA-PBE
Structure: relaxed

ΔE_f, eV per atom: -0.01
V, Å³ per cell: 41.9
N(E_F), states/eV/atom: 0.549
Space group: I4/mmm (139)
Spin magnetization, μB/cell: 0.00

Cell: 4.808 4.808 4.808 Å, 141.95 141.95 54.91°
Sites, in units of the cell vectors:
In 0.500 0.500 0.000
Ni 0.176 0.176 0.000
Ni 0.824 0.824 0.000

=====

For reference, mass density by record: 9.2; 7.9; 8.4; 9.1; 8.0; 8.2; 9.1; 9.2 Mg/m³.